# 1
HfCuAs2Se PBE-GGA relaxed; distance to the lowest polymorph of the same formula = 0.005 eV/atom; space-group type = P4/mmm, No. 123; electronic total energy = -24.877 eV per cell
1.0
4.612 0.000 0.000
0.000 4.612 0.000
0.000 0.000 4.808
Hf Cu As Se
1 1 2 1
Cartesian
0.000 0.000 0.000
2.306 2.306 2.404
0.000 2.306 2.404
2.306 0.000 2.404
2.306 2.306 0.000

---

# 2
Zr2HgSb PBE-GGA relaxed; distance to the lowest polymorph of the same formula = 0.006 eV/atom; space-group type = P4/mmm, No. 123; electronic total energy = -22.911 eV per cell
1.0
4.605 0.000 0.000
0.000 4.605 0.000
0.000 0.000 4.175
Zr Hg Sb
2 1 1
Cartesian
0.000 2.303 0.000
2.303 0.000 0.000
0.000 0.000 2.088
2.303 2.303 2.088

---

# 3
Pr12Si5Se28 PBE-GGA relaxed; distance to the lowest polymorph of the same formula = 0.015 eV/atom; space-group type = P3, No. 143; electronic total energy = -489.629 eV per cell
1.0
10.694 0.000 0.000
-5.347 9.261 0.000
0.000 0.000 24.487
Pr Si Se
24 10 56
Cartesian
-2.775 5.123 0.000
-2.823 5.221 18.631
-2.729 5.219 6.433
-2.779 5.334 12.677
2.656 0.950 3.135
2.734 0.942 9.454
2.784 1.003 21.591
2.911 0.958 15.801
2.117 4.188 12.677
2.237 4.206 18.631
2.192 4.288 6.433
2.298 4.296 0.000
0.477 9.103 0.000
0.537 9.015 6.433
0.586 9.095 18.631
0.662 9.001 12.677
4.721 6.261 15.801
4.824 6.349 21.591
4.795 6.423 9.454
4.842 6.486 3.135
8.433 1.909 21.591
8.543 1.825 3.135
8.409 2.042 15.801
8.511 1.897 9.454
0.000 0.000 5.795
0.000 0.000 12.056
0.000 0.000 18.100
0.000 0.000 24.083
0.000 6.174 2.757
0.000 6.174 9.020
0.000 6.174 15.087
0.000 6.174 21.089
5.347 3.087 5.030
5.347 3.087 11.078
0.000 0.000 1.906
0.000 0.000 8.082
0.000 0.000 14.288
0.000 0.000 20.357
-3.732 7.892 17.182
-3.716 7.918 11.097
-3.687 7.916 4.925
-3.685 7.925 23.225
0.326 2.107 23.225
0.348 2.084 11.097
0.335 2.111 4.925
0.378 2.084 17.182
-0.439 4.081 14.156
-0.358 4.082 20.189
-0.350 4.083 8.089
-0.295 4.076 1.871
-1.670 7.479 1.871
-1.636 7.523 8.089
-1.633 7.531 20.189
-1.594 7.601 14.156
0.000 6.174 5.066
0.000 6.174 11.267
0.000 6.174 17.327
0.000 6.174 23.374
3.460 1.593 0.415
3.530 1.539 18.685
3.594 1.647 6.463
3.734 1.666 12.337
3.030 3.858 15.584
3.103 3.937 21.728
3.273 3.867 9.667
3.402 3.872 3.732
2.032 6.841 14.156
1.991 6.910 20.189
1.986 6.916 8.089
1.965 6.968 1.871
5.733 0.719 21.728
5.709 0.901 9.667
5.639 1.010 3.732
5.838 0.695 15.584
4.923 5.194 12.337
4.976 5.326 6.463
4.915 5.435 18.685
4.996 5.468 0.415
3.352 8.496 4.925
3.359 8.490 23.225
3.368 8.520 11.097
3.354 8.547 17.182
7.384 2.401 12.337
7.471 2.289 6.463
7.584 2.200 0.415
7.596 2.288 18.685
6.999 4.379 3.732
7.059 4.493 9.667
7.205 4.605 21.728
7.174 4.708 15.584

---

# 4
LiLaHo2In4 PBE-GGA relaxed; space-group type = R-3m, No. 166; electronic total energy = -30.201 eV per cell; ΔE_f = -3.25 eV per formula unit
1.0
2.627 1.517 8.913
-2.627 1.517 8.913
0.000 -3.034 8.913
Li La Ho In
1 1 2 4
Cartesian
0.000 0.000 0.000
0.000 0.000 13.370
0.000 0.000 6.801
0.000 0.000 19.939
0.000 0.000 3.189
0.000 0.000 9.935
0.000 0.000 16.805
0.000 0.000 23.551

---

Question: Which formula does entry 4 have?
Answer: LiLaHo2In4